PrAl20V2 | PBE | optimized geometry

Values from the calculation:
- total DFT energy (no corrections) (eV per atom) = -4.456
- calculated volume (A^3/atom) = 16.81
- ΔE_f (eV per atom) = -0.20

a b c (Å): 10.3031 10.3031 10.3031
angles (deg): 60.00 60.00 60.00
Element x y z (fractional)
Al 0.8347 0.5681 0.2986
Al 0.6819 0.9514 0.9514
Al 0.5681 0.8347 0.2986
Al 0.9514 0.9514 0.4153
Al 0.1120 0.1120 0.3880
Al 0.2986 0.8347 0.2986
Al 0.3880 0.3880 0.1120
Al 0.1380 0.8620 0.8620
Al 0.6250 0.6250 0.6250
Al 0.8347 0.2986 0.5681
Al 0.9514 0.9514 0.6819
Al 0.2986 0.5681 0.2986
Al 0.5681 0.2986 0.8347
Al 0.9514 0.6819 0.4153
Al 0.6250 0.1250 0.6250
Al 0.2986 0.2986 0.8347
Al 0.2986 0.2986 0.5681
Al 0.1120 0.3880 0.3880
Al 0.9514 0.4153 0.9514
Al 0.3880 0.1120 0.3880
Al 0.2986 0.5681 0.8347
Al 0.4153 0.9514 0.6819
Al 0.8347 0.2986 0.2986
Al 0.5681 0.2986 0.2986
Al 0.6819 0.4153 0.9514
Al 0.9514 0.6819 0.9514
Al 0.4153 0.6819 0.9514
Al 0.8620 0.1380 0.8620
Al 0.8620 0.8620 0.1380
Al 0.4153 0.9514 0.9514
Al 0.8620 0.1380 0.1380
Al 0.1120 0.3880 0.1120
Al 0.3880 0.1120 0.1120
Al 0.6819 0.9514 0.4153
Al 0.1250 0.6250 0.6250
Al 0.6250 0.6250 0.1250
Al 0.1380 0.8620 0.1380
Al 0.1380 0.1380 0.8620
Al 0.9514 0.4153 0.6819
Al 0.2986 0.8347 0.5681
Pr 0.5000 0.5000 0.5000
Pr 0.7500 0.7500 0.7500
V 0.1250 0.1250 0.6250
V 0.1250 0.1250 0.1250
V 0.6250 0.1250 0.1250
V 0.1250 0.6250 0.1250

=====

Pr5Y12Al3 | PBE | optimized geometry

Values from the calculation:
- total DFT energy (no corrections) (eV per atom) = -4.819
- calculated volume (A^3/atom) = 35.13
- ΔE_f (eV per atom) = 0.82

a b c (Å): 15.3975 15.3975 15.3975
angles (deg): 109.47 109.47 109.47
Element x y z (fractional)
Pr 0.1250 0.3750 0.2500
Pr 0.8750 0.6250 0.7500
Pr 0.7500 0.1250 0.8750
Pr 0.0000 0.0000 0.0000
Pr 0.3750 0.2500 0.1250
Pr 0.5000 0.0000 0.0000
Pr 0.3750 0.1250 0.7500
Pr 0.0000 0.5000 0.0000
Pr 0.5000 0.5000 0.0000
Pr 0.0000 0.0000 0.5000
Pr 0.2500 0.3750 0.6250
Pr 0.1250 0.7500 0.3750
Pr 0.0000 0.5000 0.5000
Pr 0.5000 0.0000 0.5000
Pr 0.8750 0.2500 0.6250
Pr 0.2500 0.8750 0.1250
Pr 0.6250 0.7500 0.8750
Pr 0.7500 0.6250 0.3750
Pr 0.5000 0.5000 0.5000
Pr 0.6250 0.8750 0.2500
Y 0.9288 0.0935 0.8571
Y 0.0935 0.9288 0.3571
Y 0.5712 0.6429 0.4065
Y 0.2364 0.5717 0.6429
Y 0.7364 0.5935 0.1647
Y 0.8571 0.5935 0.9288
Y 0.5717 0.2364 0.1429
Y 0.4065 0.1429 0.5712
Y 0.0717 0.4288 0.8353
Y 0.8571 0.2636 0.4283
Y 0.7364 0.1429 0.0717
Y 0.3353 0.7636 0.4065
Y 0.9065 0.8353 0.7636
Y 0.7636 0.3353 0.9065
Y 0.3571 0.9283 0.7636
Y 0.9283 0.3571 0.2636
Y 0.5935 0.7364 0.6647
Y 0.0712 0.9065 0.1429
Y 0.7636 0.4283 0.3571
Y 0.0717 0.6429 0.7364
Y 0.6647 0.4283 0.5712
Y 0.1647 0.0935 0.7364
Y 0.4283 0.7636 0.8571
Y 0.9065 0.0712 0.6429
Y 0.4288 0.3571 0.5935
Y 0.5935 0.8571 0.4288
Y 0.4283 0.6647 0.0712
Y 0.9283 0.5712 0.1647
Y 0.8353 0.9288 0.0717
Y 0.2364 0.6647 0.0935
Y 0.4288 0.0717 0.3353
Y 0.5712 0.9283 0.6647
Y 0.6429 0.5712 0.9065
Y 0.6429 0.0717 0.2364
Y 0.0935 0.1647 0.2364
Y 0.0712 0.1647 0.4283
Y 0.3353 0.5717 0.4288
Y 0.8353 0.9065 0.2636
Y 0.5717 0.3353 0.9288
Y 0.3571 0.4288 0.0935
Y 0.2636 0.8571 0.9283
Y 0.1647 0.0712 0.9283
Y 0.1429 0.7364 0.5717
Y 0.9288 0.8353 0.5717
Y 0.4065 0.2636 0.3353
Y 0.2636 0.4065 0.8353
Y 0.6647 0.2364 0.5935
Y 0.1429 0.4065 0.0712
Al 0.6250 0.3750 0.7500
Al 0.7500 0.3750 0.1250
Al 0.2500 0.1250 0.3750
Al 0.8750 0.1250 0.2500
Al 0.8750 0.7500 0.1250
Al 0.6250 0.2500 0.3750
Al 0.3750 0.6250 0.2500
Al 0.3750 0.7500 0.6250
Al 0.7500 0.8750 0.6250
Al 0.2500 0.6250 0.8750
Al 0.1250 0.8750 0.7500
Al 0.1250 0.2500 0.8750

=====

PrYAl2 | PBE | optimized geometry

Values from the calculation:
- total DFT energy (no corrections) (eV per atom) = -4.809
- calculated volume (A^3/atom) = 27.33
- ΔE_f (eV per atom) = -0.13

a b c (Å): 3.6835 3.6835 9.5420
angles (deg): 78.87 78.87 60.00
Element x y z (fractional)
Pr 0.5000 0.5000 0.5000
Y 0.0000 0.0000 0.0000
Al 0.2527 0.2527 0.2420
Al 0.7473 0.7473 0.7580

=====

Pr3YAl8 | PBE | optimized geometry

Values from the calculation:
- total DFT energy (no corrections) (eV per atom) = -4.722
- calculated volume (A^3/atom) = 21.62
- ΔE_f (eV per atom) = -0.49

a b c (Å): 5.6750 5.6750 9.8614
angles (deg): 73.28 73.28 60.00
Element x y z (fractional)
Al 0.1878 0.1878 0.4365
Al 0.6871 0.6871 0.9386
Al 0.9359 0.4368 0.1905
Al 0.9381 0.9381 0.6845
Al 0.4368 0.9359 0.1905
Al 0.4368 0.4368 0.1905
Al 0.4393 0.9381 0.6845
Al 0.9381 0.4393 0.6845
Pr 0.3748 0.3748 0.8755
Pr 0.4999 0.4999 0.5003
Pr 0.0000 0.0000 0.0001
Y 0.8754 0.8754 0.3738

=====

PrY2Al2 | PBE | optimized geometry

Values from the calculation:
- total DFT energy (no corrections) (eV per atom) = -5.341
- calculated volume (A^3/atom) = 26.95
- ΔE_f (eV per atom) = -0.30

a b c (Å): 3.6822 8.5557 8.5557
angles (deg): 90.00 90.00 90.00
Element x y z (fractional)
Y 0.0000 0.6787 0.3213
Y 0.0000 0.8213 0.8213
Y 0.0000 0.1787 0.1787
Y 0.0000 0.3213 0.6787
Pr 0.5000 0.0000 0.5000
Pr 0.5000 0.5000 0.0000
Al 0.5000 0.6143 0.6143
Al 0.5000 0.1143 0.8857
Al 0.5000 0.3857 0.3857
Al 0.5000 0.8857 0.1143

=====

Pr4Y4Al | PBE | optimized geometry

Values from the calculation:
- total DFT energy (no corrections) (eV per atom) = -5.180
- calculated volume (A^3/atom) = 33.96
- ΔE_f (eV per atom) = 0.23

a b c (Å): 6.3386 11.3987 7.7734
angles (deg): 137.15 114.06 90.00
Element x y z (fractional)
Y 0.6405 0.1052 0.7285
Y 0.9120 0.8948 0.2715
Y 0.3595 0.3767 0.2715
Y 0.0880 0.6233 0.7285
Pr 0.6704 0.6704 0.3408
Pr 0.5000 0.0000 0.0000
Pr 0.3296 0.3296 0.6592
Pr 0.0000 0.5000 0.0000
Al 0.0000 0.0000 0.0000

=====

PrY2Al | PBE | optimized geometry

Values from the calculation:
- total DFT energy (no corrections) (eV per atom) = -5.531
- calculated volume (A^3/atom) = 28.35
- ΔE_f (eV per atom) = -0.17

a b c (Å): 4.8113 4.8551 4.8551
angles (deg): 90.00 90.00 90.00
Element x y z (fractional)
Al 0.5000 0.5000 0.5000
Pr 0.5000 0.0000 0.0000
Y 0.0000 0.5000 0.0000
Y 0.0000 0.0000 0.5000

=====

Pr14YAl | PBE | optimized geometry

Values from the calculation:
- total DFT energy (no corrections) (eV per atom) = -4.829
- calculated volume (A^3/atom) = 34.38
- ΔE_f (eV per atom) = -0.01

a b c (Å): 7.3032 7.3032 10.3141
angles (deg): 90.00 90.00 90.02
Element x y z (fractional)
Pr 0.6310 0.8809 0.7587
Pr 0.6308 0.3692 0.2418
Pr 0.1191 0.8809 0.7590
Pr 0.3756 0.1251 0.0000
Pr 0.1191 0.8809 0.2410
Pr 0.8750 0.1250 0.5000
Pr 0.6308 0.3692 0.7582
Pr 0.8751 0.6253 0.5000
Pr 0.3747 0.6253 0.5000
Pr 0.8749 0.6244 0.0000
Pr 0.3747 0.1249 0.5000
Pr 0.6310 0.8809 0.2413
Pr 0.1191 0.3690 0.7587
Pr 0.1191 0.3690 0.2413
Y 0.3751 0.6249 0.0000
Al 0.8749 0.1251 0.0000

=====

Pr3YAl8 | PBE | optimized geometry

Values from the calculation:
- total DFT energy (no corrections) (eV per atom) = -4.711
- calculated volume (A^3/atom) = 21.68
- ΔE_f (eV per atom) = -0.48

a b c (Å): 5.6675 5.6675 9.3533
angles (deg): 90.00 90.00 120.00
Element x y z (fractional)
Y 0.0000 0.0000 0.5683
Al 0.1621 0.3243 0.2527
Al 0.1621 0.8379 0.2527
Al 0.3333 0.6667 0.5014
Al 0.3333 0.6667 0.9979
Al 0.6757 0.8379 0.2527
Al 0.9917 0.4958 0.7466
Al 0.5042 0.4958 0.7466
Al 0.5042 0.0083 0.7466
Pr 0.6667 0.3333 0.0693
Pr 0.0000 0.0000 0.9325
Pr 0.6667 0.3333 0.4327

=====

PrYAl2 | PBE | optimized geometry

Values from the calculation:
- total DFT energy (no corrections) (eV per atom) = -5.066
- calculated volume (A^3/atom) = 24.95
- ΔE_f (eV per atom) = -0.38

a b c (Å): 3.6848 3.6848 7.3515
angles (deg): 90.00 90.00 90.00
Element x y z (fractional)
Al 0.0000 0.0000 0.7672
Al 0.0000 0.0000 0.2328
Pr 0.5000 0.5000 0.5000
Y 0.5000 0.5000 0.0000

=====

PrY3Al4 | PBE | optimized geometry

Values from the calculation:
- total DFT energy (no corrections) (eV per atom) = -5.287
- calculated volume (A^3/atom) = 24.26
- ΔE_f (eV per atom) = -0.39

a b c (Å): 5.1506 7.3152 10.3017
angles (deg): 90.00 90.00 90.00
Element x y z (fractional)
Al 0.5000 0.7588 0.5000
Al 0.0000 0.7588 0.7500
Al 0.5000 0.7588 0.0000
Al 0.0000 0.7588 0.2500
Al 0.5000 0.2412 0.0000
Al 0.5000 0.2412 0.5000
Al 0.0000 0.2412 0.2500
Al 0.0000 0.2412 0.7500
Y 0.5001 0.5000 0.2500
Y 0.0000 0.0000 0.5000
Y 0.4999 0.5000 0.7500
Y 0.5001 0.0000 0.2500
Y 0.4999 0.0000 0.7500
Y 0.0000 0.0000 0.0000
Pr 0.0000 0.5000 0.0000
Pr 0.0000 0.5000 0.5000

=====

PrYAl4 | PBE | optimized geometry

Values from the calculation:
- total DFT energy (no corrections) (eV per atom) = -4.873
- calculated volume (A^3/atom) = 21.23
- ΔE_f (eV per atom) = -0.50

a b c (Å): 5.6479 5.6479 5.6479
angles (deg): 60.00 60.00 60.00
Element x y z (fractional)
Al 0.1247 0.6251 0.6251
Al 0.6251 0.1247 0.6251
Al 0.6251 0.6251 0.6251
Al 0.6251 0.6251 0.1247
Pr 0.2500 0.2500 0.2500
Y 0.0000 0.0000 0.0000